No. 1
LaNd2Th: relaxed, PBE.

a b c (Å): 3.664 3.664 12.193
angles (deg): 98.67 98.67 59.97
Sites, in units of the cell vectors:
La: 0.000 0.000 0.000
Nd: 0.245 0.245 0.739
Nd: 0.419 0.419 0.262
Th: 0.833 0.833 0.500

formation enthalpy at 0 K	0.028	eV per atom
energy relative to the lowest polymorph listed for this composition	0.0000	eV per atom
V	34.89	Å³ per atom

***

No. 2
La2Nd4Th: relaxed, PBE.

a b c (Å): 12.058 12.058 3.499
angles (deg): 90.00 90.00 150.71
Sites, in units of the cell vectors:
La: 0.216 0.784 0.000
La: 0.784 0.216 0.000
Nd: 0.075 0.925 0.500
Nd: 0.367 0.633 0.000
Nd: 0.633 0.367 0.000
Nd: 0.925 0.075 0.500
Th: 0.500 0.500 0.500

formation enthalpy at 0 K	0.213	eV per atom
energy relative to the lowest polymorph listed for this composition	0.0000	eV per atom
V	35.55	Å³ per atom

***

No. 3
LaNd3Th2: relaxed, PBE.

a b c (Å): 9.614 9.614 6.683
angles (deg): 90.00 90.00 137.57
Sites, in units of the cell vectors:
La: 0.149 0.851 0.750
La: 0.851 0.149 0.250
Nd: 0.078 0.423 0.750
Nd: 0.352 0.648 0.250
Nd: 0.423 0.078 0.250
Nd: 0.577 0.922 0.750
Nd: 0.648 0.352 0.750
Nd: 0.922 0.577 0.250
Th: 0.250 0.250 0.000
Th: 0.250 0.250 0.500
Th: 0.750 0.750 0.000
Th: 0.750 0.750 0.500

formation enthalpy at 0 K	0.174	eV per atom
V	34.73	Å³ per atom

***

VASP energy list, top to bottom, in eV per atom: -5.443 -4.979 -5.505